(1)
## Sn4Pb3Au2 (PBE)

Data for a relaxed structure of Sn4Pb3Au2.

It has space group C2/m (No. 12), with a = 12.317 Å, b = 4.459 Å, c = 9.900 Å, α = 90.00°, β = 113.11° and γ = 90.00°. The distinct sites, in fractional coordinates, are Sn at (0.003, 0.000, 0.160), Sn at (0.246, 0.500, 0.599), Pb at (0.000, 0.000, 0.500), Pb at (0.202, 0.500, 0.109) and Au at (0.107, 0.500, 0.769).

As for the total magnetization: 0.00 Bohr magnetons per cell. For the final energy, the calculation gives -3.7907 eV per atom. As for the formation energy: -41 kJ/mol of formula units.

(2)
## Pa3Sb2Te (PBE)

Data for a relaxed structure of Pa3Sb2Te.

It has space group P-3m1 (No. 164), with a = 5.2675 Å, b = 5.2675 Å, c = 6.4500 Å, α = 90.00°, β = 90.00° and γ = 120.00°. The distinct sites, in fractional coordinates, are Pa at (0.0000, 0.0000, 0.0000), Pa at (0.3333, 0.6667, 0.3310), Sb at (0.3333, 0.6667, 0.8316) and Te at (0.0000, 0.0000, 0.5000).

The uncorrected formation energy comes out at -0.51 eV/atom. As for the total magnetization: 2.05 Bohr magnetons per cell. For the final energy, the calculation gives -7.1573 eV per atom.

(3)
## CaMgPt2 (PBE)

Data for a relaxed structure of CaMgPt2.

It has space group I-4m2 (No. 119), with a = 4.033 Å, b = 4.033 Å, c = 9.107 Å, α = 90.00°, β = 90.00° and γ = 90.00°. The distinct sites, in fractional coordinates, are Ca at (0.000, 0.000, 0.000), Mg at (0.000, 0.500, 0.250), Pt at (0.000, 0.000, 0.500) and Pt at (0.000, 0.500, 0.750).

As for the total magnetization: 0.00 Bohr magnetons per cell. For the final energy, the calculation gives -4.6129 eV per atom. As for the formation energy: -268 kJ/mol of formula units.

(4)
## HoLuPu (PBE)

Data for a relaxed structure of HoLuPu.

It has space group I4mm (No. 107), with a = 3.468 Å, b = 3.468 Å, c = 14.587 Å, α = 90.00°, β = 90.00° and γ = 90.00°. The distinct sites, in fractional coordinates, are Ho at (0.000, 0.000, 0.000), Lu at (0.000, 0.000, 0.330) and Pu at (0.000, 0.000, 0.667).

As for the total magnetization: 12.28 Bohr magnetons per cell. For the final energy, the calculation gives -7.7084 eV per atom. As for the formation energy: 29 kJ/mol of formula units. The value obtained for the energy above the most stable polymorph in this dataset is 0 meV per atom.

(5)
## Cs2NbTlCl6 (PBE)

Data for a relaxed structure of Cs2NbTlCl6.

It has space group Fm-3m (No. 225), with a = 11.179 Å, b = 11.179 Å, c = 11.179 Å, α = 90.00°, β = 90.00° and γ = 90.00°. The distinct sites, in fractional coordinates, are Cs at (0.250, 0.250, 0.250), Nb at (0.000, 0.000, 0.000), Tl at (0.000, 0.000, 0.500) and Cl at (0.000, 0.000, 0.224).

The uncorrected formation energy comes out at -1.48 eV/atom. As for the total magnetization: 8.00 Bohr magnetons per cell. For the final energy, the calculation gives -4.0015 eV per atom.

(6)
## BaAc3C8 (PBE)

Data for a relaxed structure of BaAc3C8.

It has space group Fmm2 (No. 42), with a = 10.934 Å, b = 10.970 Å, c = 8.543 Å, α = 90.00°, β = 90.00° and γ = 90.00°. The distinct sites, in fractional coordinates, are Ba at (0.000, 0.000, 0.000), Ac at (0.000, 0.000, 0.499), Ac at (0.250, 0.250, 0.252), C at (0.000, 0.180, 0.250), C at (0.000, 0.230, 0.655), C at (0.180, 0.000, 0.747) and C at (0.230, 0.000, 0.343).

As for the total magnetization: 0.00 Bohr magnetons per cell. For the final energy, the calculation gives -7.1803 eV per atom. As for the formation energy: 181 kJ/mol of formula units.

(7)
## Li6Pm2Ga3 (PBE)

Data for a relaxed structure of Li6Pm2Ga3.

It has space group P-62m (No. 189), with a = 7.6137 Å, b = 7.6137 Å, c = 4.4509 Å, α = 90.00°, β = 90.00° and γ = 120.00°. The distinct sites, in fractional coordinates, are Li at (0.0000, 0.2097, 0.0000), Li at (0.0000, 0.7597, 0.5000), Pm at (0.3333, 0.6667, 0.0000) and Ga at (0.0000, 0.4186, 0.5000).

As for the total magnetization: 0.00 Bohr magnetons per cell. For the final energy, the calculation gives -2.9574 eV per atom. As for the formation energy: -238 kJ/mol of formula units.

(8)
## BaTaSbO6 (PBE)

Data for a relaxed structure of BaTaSbO6.

It has space group P-31c (No. 163), with a = 5.4248 Å, b = 5.4248 Å, c = 11.5490 Å, α = 90.00°, β = 90.00° and γ = 120.00°. The distinct sites, in fractional coordinates, are Ba at (0.0000, 0.0000, 0.0000), Ta at (0.3333, 0.6667, 0.2500), Sb at (0.3333, 0.6667, 0.7500) and O at (0.0005, 0.3926, 0.1523).

The uncorrected formation energy comes out at -2.43 eV/atom. As for the total magnetization: 0.00 Bohr magnetons per cell. For the final energy, the calculation gives -7.7216 eV per atom.

(9)
## GdFeNi4 (PBE)

Data for a relaxed structure of GdFeNi4.

It has space group P-6m2 (No. 187), with a = 4.9698 Å, b = 4.9698 Å, c = 3.9342 Å, α = 90.00°, β = 90.00° and γ = 120.00°. The distinct sites, in fractional coordinates, are Gd at (0.0000, 0.0000, 0.0000), Fe at (0.6667, 0.3333, 0.0000), Ni at (0.0008, 0.5004, 0.5000) and Ni at (0.3333, 0.6667, 0.0000).

As for the total magnetization: 10.99 Bohr magnetons per cell. For the final energy, the calculation gives -7.8422 eV per atom. As for the formation energy: -134 kJ/mol of formula units. The value obtained for the energy above the most stable polymorph in this dataset is 0 meV per atom.

(10)
## CeReBC (PBE)

Data for a relaxed structure of CeReBC.

It has space group P4/nmm (No. 129, origin choice 2), with a = 3.676 Å, b = 3.676 Å, c = 8.284 Å, α = 90.00°, β = 90.00° and γ = 90.00°. The distinct sites, in fractional coordinates, are Ce at (0.250, 0.250, 0.161), Re at (0.250, 0.750, 0.500), B at (0.250, 0.250, 0.679) and C at (0.250, 0.250, 0.866).

As for the total magnetization: 0.00 Bohr magnetons per cell. For the final energy, the calculation gives -8.8572 eV per atom. As for the formation energy: -111 kJ/mol of formula units.

(11)
## SmHfCuTc (PBE)

Data for a relaxed structure of SmHfCuTc.

It has space group F-43m (No. 216), with a = 6.753 Å, b = 6.753 Å, c = 6.753 Å, α = 90.00°, β = 90.00° and γ = 90.00°. The distinct sites, in fractional coordinates, are Sm at (0.000, 0.000, 0.000), Hf at (0.000, 0.000, 0.500), Cu at (0.250, 0.250, 0.250) and Tc at (0.250, 0.250, 0.750).

As for the total magnetization: 0.00 Bohr magnetons per cell. For the final energy, the calculation gives -7.3743 eV per atom. As for the formation energy: -35 kJ/mol of formula units.

(12)
## PrGeH (PBE)

Data for a relaxed structure of PrGeH.

It has space group P-6m2 (No. 187), with a = 3.8074 Å, b = 3.8074 Å, c = 4.8269 Å, α = 90.00°, β = 90.00° and γ = 120.00°. The distinct sites, in fractional coordinates, are Pr at (0.0000, 0.0000, 0.0000), Ge at (0.6667, 0.3333, 0.5000) and H at (0.3333, 0.6667, 0.0000).

As for the total magnetization: 0.00 Bohr magnetons per cell. For the final energy, the calculation gives -4.6491 eV per atom. The value obtained for the energy above the most stable polymorph in this dataset is 354 meV per atom.